1.
Computed, not measured: a relaxed structure of Si3BiO at the PBE-GGA level of DFT.

Results
E above lowest polymorph = 0.000 eV per atom
formation energy (no corrections) = 0.283 eV/atom
total energy = -23.70 eV for the cell shown

Cell lengths 4.4629, 4.4629, 4.4629 Å; angles 90.00, 90.00, 90.00 degrees
With the nearest neighbours (Å) after each atom.
Fractional coordinates of all 5 atoms:
1 Si 0.0000 0.5000 0.0000  2 O 2.23
2 Si 0.0000 0.0000 0.5000  2 O 2.23
3 Si 0.5000 0.0000 0.0000  2 O 2.23
4 Bi 0.5000 0.5000 0.5000  12 Si 3.16
5 O 0.0000 0.0000 0.0000  6 Si 2.23

2.
Computed, not measured: a relaxed structure of Si2Bi2O7 at the PBE-GGA level of DFT.

Results
formation energy (no corrections) = -2.097 eV/atom
total energy = -76.38 eV for the cell shown

Cell lengths 4.7770, 5.9111, 5.9111 Å; angles 105.80, 96.32, 96.32 degrees
With the nearest neighbours (Å) after each atom.
Fractional coordinates of all 11 atoms:
1 Si 0.0782 0.7840 0.7840  4 O 1.64-1.66
2 Si 0.9218 0.2160 0.2160  4 O 1.64-1.66
3 Bi 0.5000 0.3082 0.6918  6 O 2.32-2.45
4 Bi 0.5000 0.6918 0.3082  6 O 2.32-2.45
5 O 0.2575 0.6113 0.9013  1 Si 1.64
6 O 0.7425 0.0987 0.3887  1 Si 1.64
7 O 0.7425 0.3887 0.0987  1 Si 1.64
8 O 0.2575 0.9013 0.6113  1 Si 1.64
9 O 0.2257 0.3714 0.3714  1 Si 1.66
10 O 0.0000 0.0000 0.0000  2 Si 1.65
11 O 0.7743 0.6286 0.6286  1 Si 1.66

3.
Computed, not measured: a relaxed structure of Si3BiO at the PBE-GGA level of DFT.

Results
E above lowest polymorph = 1.704 eV per atom
formation energy (no corrections) = 1.987 eV/atom
total energy = -15.17 eV for the cell shown

Cell lengths 5.4426, 5.4426, 5.4426 Å; angles 90.00, 90.00, 90.00 degrees
With the nearest neighbours (Å) after each atom.
Fractional coordinates of all 5 atoms:
1 Si 0.0000 0.5000 0.0000  2 Bi 2.72
2 Si 0.0000 0.0000 0.5000  2 Bi 2.72
3 Si 0.5000 0.0000 0.0000  2 Bi 2.72
4 Bi 0.0000 0.0000 0.0000  6 Si 2.72
5 O 0.5000 0.5000 0.5000  12 Si 3.85

4.
Computed, not measured: a relaxed structure of TiSi2BiO8 at the PBE-GGA level of DFT.

Results
formation energy (no corrections) = -2.227 eV/atom
total energy = -89.02 eV for the cell shown

Cell lengths 5.6254, 5.6254, 5.6254 Å; angles 106.96, 106.96, 114.61 degrees
With the nearest neighbours (Å) after each atom.
Fractional coordinates of all 12 atoms:
1 Ti 0.0000 0.0000 0.0000  8 O 2.11-2.19
2 Si 0.7500 0.2500 0.5000  4 O 1.66
3 Si 0.5000 0.5000 0.0000  4 O 1.64
4 Bi 0.2500 0.7500 0.5000  8 O 2.23-2.39
5 O 0.3857 0.0795 0.3062  1 Si 1.66
6 O 0.3074 0.4784 0.1710  1 Si 1.64
7 O 0.3074 0.1364 0.8290  1 Si 1.64
8 O 0.7733 0.0795 0.6938  1 Si 1.66
9 O 0.8636 0.6926 0.1710  1 Si 1.64
10 O 0.9205 0.2267 0.3062  1 Si 1.66
11 O 0.9205 0.6143 0.6938  1 Si 1.66
12 O 0.5216 0.6926 0.8290  1 Si 1.64

5.
Computed, not measured: a relaxed structure of TlSi2BiO6 at the PBE-GGA level of DFT.

Results
formation energy (no corrections) = -2.050 eV/atom
total energy = -134.68 eV for the cell shown

Cell lengths 7.3901, 7.3901, 5.4685 Å; angles 97.83, 97.83, 88.36 degrees
With the nearest neighbours (Å) after each atom.
Fractional coordinates of all 20 atoms:
1 Tl 0.1776 0.8224 0.2500  8 O 2.87-3.02
2 Tl 0.8224 0.1776 0.7500  8 O 2.87-3.02
3 Si 0.3000 0.1415 0.7898  4 O 1.61-1.69
4 Si 0.8585 0.7000 0.7102  4 O 1.61-1.69
5 Si 0.7000 0.8585 0.2102  4 O 1.61-1.69
6 Si 0.1415 0.3000 0.2898  4 O 1.61-1.69
7 Bi 0.6223 0.3777 0.2500  6 O 2.33-2.45
8 Bi 0.3777 0.6223 0.7500  6 O 2.33-2.45
9 O 0.9363 0.3793 0.2403  1 Si 1.61
10 O 0.6207 0.0637 0.2597  1 Si 1.61
11 O 0.0637 0.6207 0.7597  1 Si 1.61
12 O 0.3793 0.9363 0.7403  1 Si 1.61
13 O 0.1784 0.1586 0.0312  2 Si 1.68-1.69
14 O 0.8414 0.8216 0.4688  2 Si 1.68-1.69
15 O 0.8216 0.8414 0.9688  2 Si 1.68-1.69
16 O 0.1586 0.1784 0.5312  2 Si 1.68-1.69
17 O 0.3116 0.4454 0.3487  1 Si 1.65
18 O 0.5546 0.6884 0.1513  1 Si 1.65
19 O 0.6884 0.5546 0.6513  1 Si 1.65
20 O 0.4454 0.3116 0.8487  1 Si 1.65

6.
Computed, not measured: a relaxed structure of Tl2Si2BiO6 at the PBE-GGA level of DFT.

Results
formation energy (no corrections) = -1.617 eV/atom
total energy = -67.00 eV for the cell shown

Cell lengths 5.9730, 5.9730, 7.0184 Å; angles 64.82, 64.82, 60.00 degrees
With the nearest neighbours (Å) after each atom.
Fractional coordinates of all 11 atoms:
1 Tl 0.7880 0.7880 0.6360  9 O 3.05-3.09
2 Tl 0.2120 0.2120 0.3640  9 O 3.05-3.09
3 Si 0.4293 0.4293 0.7121  3 O 1.62
4 Si 0.5707 0.5707 0.2879  3 O 1.62
5 Bi 0.0000 0.0000 0.0000  6 O 2.36
6 O 0.7413 0.7413 0.2391  1 Si 1.62
7 O 0.2782 0.7413 0.2391  1 Si 1.62
8 O 0.7413 0.2782 0.2391  1 Si 1.62
9 O 0.2587 0.7218 0.7609  1 Si 1.62
10 O 0.7218 0.2587 0.7609  1 Si 1.62
11 O 0.2587 0.2587 0.7609  1 Si 1.62